A plane-wave DFT calculation with GGA-PBE was carried out for KTaRe2 after structural relaxation.

Cell lengths 2.659, 5.315, 5.315 Å; angles 90.00, 90.00, 90.00 degrees
Fractional coordinates of all 4 atoms:
K: 0.500 0.000 0.500
Re: 0.000 0.000 0.000
Re: 0.000 0.500 0.500
Ta: 0.500 0.500 0.000

Results
**Space group**: No. 123
**Offset from the most stable computed form**: 924 meV per atom
**VASP energy**: -31.683 eV for the cell shown


A plane-wave DFT calculation with GGA-PBE was carried out for KTaRe2 after structural relaxation.

Cell lengths 2.901, 4.893, 4.970 Å; angles 90.00, 90.00, 90.00 degrees
Fractional coordinates of all 4 atoms:
K: 0.000 0.500 0.500
Re: 0.000 0.000 0.000
Re: 0.500 0.500 0.000
Ta: 0.500 0.000 0.500

Results
**Space group**: No. 47
**Offset from the most stable computed form**: 960 meV per atom
**VASP energy**: -31.541 eV for the cell shown


A plane-wave DFT calculation with GGA-PBE was carried out for KTaRe2 after structural relaxation.

Cell lengths 4.886, 4.886, 7.215 Å; angles 84.12, 84.12, 36.43 degrees
Fractional coordinates of all 4 atoms:
K: 0.744 0.744 0.762
Re: 0.975 0.975 0.128
Re: 0.253 0.253 0.228
Ta: 0.528 0.528 0.382

Results
**Space group**: No. 8
**Offset from the most stable computed form**: 351 meV per atom
**VASP energy**: -33.977 eV for the cell shown


A plane-wave DFT calculation with GGA-PBE was carried out for KTaRe2 after structural relaxation.

Cell lengths 3.966, 2.862, 8.411 Å; angles 79.22, 90.00, 90.00 degrees
Fractional coordinates of all 4 atoms:
K: 0.500 0.568 0.767
Re: 0.000 0.884 0.103
Re: 0.500 0.316 0.229
Ta: 0.000 0.732 0.401

Results
**Space group**: No. 6
**Offset from the most stable computed form**: 118 meV per atom
**VASP energy**: -34.909 eV for the cell shown


A plane-wave DFT calculation with GGA-PBE was carried out for KTaRe2 after structural relaxation.

Cell lengths 4.635, 4.635, 4.635 Å; angles 60.00, 60.00, 60.00 degrees
Fractional coordinates of all 4 atoms:
K: 0.500 0.500 0.500
Re: 0.000 0.000 0.000
Re: 0.250 0.250 0.250
Ta: 0.750 0.750 0.750

Results
**Space group**: No. 216
**Offset from the most stable computed form**: 796 meV per atom
**VASP energy**: -32.195 eV for the cell shown


A plane-wave DFT calculation with GGA-PBE was carried out for KTaRe2 after structural relaxation.

Cell lengths 11.109, 11.109, 11.109 Å; angles 14.46, 14.46, 14.46 degrees
Fractional coordinates of all 4 atoms:
K: 0.750 0.750 0.750
Re: 0.991 0.991 0.991
Re: 0.509 0.509 0.509
Ta: 0.250 0.250 0.250

Results
**Space group**: No. 166
**Offset from the most stable computed form**: 214 meV per atom
**VASP energy**: -34.523 eV for the cell shown


A plane-wave DFT calculation with GGA-PBE was carried out for KTaRe2Tc after structural relaxation.

Cell lengths 4.496, 4.391, 4.496 Å; angles 90.00, 90.00, 90.00 degrees
Fractional coordinates of all 5 atoms:
Re: 0.000 0.000 0.500
Re: 0.500 0.000 0.000
K: 0.000 0.000 0.000
Tc: 0.000 0.500 0.000
Ta: 0.500 0.500 0.500

Results
**Space group**: No. 123
**VASP energy**: -32.275 eV for the cell shown


A plane-wave DFT calculation with GGA-PBE was carried out for KTaTi2Re after structural relaxation.

Cell lengths 4.796, 5.298, 4.796 Å; angles 90.00, 90.00, 90.00 degrees
Site moments in Bohr magnetons follow the coordinates.
Fractional coordinates of all 5 atoms:
Re: 0.500 0.500 0.500  2.57
K: 0.000 0.500 0.000  0.02
Ti: 0.000 0.000 0.500  -0.18
Ti: 0.500 0.000 0.000  -0.34
Ta: 0.000 0.000 0.000  0.13

Results
**Space group**: No. 123
**VASP energy**: -29.928 eV for the cell shown


A plane-wave DFT calculation with GGA-PBE was carried out for K2ReTc after structural relaxation.

Cell lengths 6.573, 6.573, 2.578 Å; angles 90.00, 90.00, 90.00 degrees
Site moments in Bohr magnetons follow the coordinates.
Fractional coordinates of all 4 atoms:
K: 0.000 0.000 0.000  0.02
K: 0.500 0.500 0.000  0.02
Re: 0.500 0.000 0.500  1.60
Tc: 0.000 0.500 0.500  1.76

Results
**Space group**: No. 123
**Offset from the most stable computed form**: 1249 meV per atom
**VASP energy**: -16.763 eV for the cell shown


A plane-wave DFT calculation with GGA-PBE was carried out for K2ReTc after structural relaxation.

Cell lengths 10.633, 10.633, 10.633 Å; angles 162.76, 159.10, 27.22 degrees
Fractional coordinates of all 4 atoms:
K: 0.103 0.103 0.000
K: 0.397 0.397 0.000
Re: 0.750 0.250 0.500
Tc: 0.250 0.750 0.500

Results
**Space group**: No. 71
**Offset from the most stable computed form**: 70 meV per atom
**VASP energy**: -21.479 eV for the cell shown


A plane-wave DFT calculation with GGA-PBE was carried out for K4ReTc after structural relaxation.

Cell lengths 6.696, 6.696, 6.696 Å; angles 60.00, 60.00, 60.00 degrees
Site moments in Bohr magnetons follow the coordinates.
Fractional coordinates of all 6 atoms:
K: 0.375 0.874 0.375  -0.01
K: 0.874 0.375 0.375  -0.01
K: 0.375 0.375 0.874  -0.01
K: 0.375 0.375 0.375  -0.01
Re: 0.750 0.750 0.750  3.10
Tc: 0.000 0.000 0.000  3.16

Results
**Space group**: No. 216
**VASP energy**: -15.333 eV for the cell shown


A plane-wave DFT calculation with GGA-PBE was carried out for K2ReTc after structural relaxation.

Cell lengths 2.693, 2.693, 11.888 Å; angles 90.00, 90.00, 107.79 degrees
Fractional coordinates of all 4 atoms:
K: 0.000 0.000 0.000
K: 0.000 0.000 0.500
Re: 0.500 0.500 0.250
Tc: 0.500 0.500 0.750

Results
**Space group**: No. 65
**Offset from the most stable computed form**: 583 meV per atom
**VASP energy**: -19.426 eV for the cell shown